Entry 1:
The following is a GGA-PBE calculation of a relaxed LaTbPrEu crystal, from Alexandria.

Unit cell a=5.909 b=5.909 c=5.909 alpha=60.00 beta=60.00 gamma=60.00
Sites, in units of the cell vectors:
Pr: 0.000 0.000 0.000
La: 0.500 0.500 0.500
Eu: 0.750 0.750 0.750
Tb: 0.250 0.250 0.250

---

Entry 2:
The following is a GGA-PBE calculation of a relaxed LaPrEuTl crystal, from Alexandria.

Unit cell a=5.712 b=5.712 c=5.712 alpha=60.00 beta=60.00 gamma=60.00
Sites, in units of the cell vectors:
Eu: 0.500 0.500 0.500
La: 0.250 0.250 0.250
Pr: 0.750 0.750 0.750
Tl: 0.000 0.000 0.000

---

Entry 3:
The following is a GGA-PBE calculation of a relaxed LaPrEuTm crystal, from Alexandria.

Unit cell a=5.878 b=5.878 c=5.878 alpha=60.00 beta=60.00 gamma=60.00
Sites, in units of the cell vectors:
Tm: 0.500 0.500 0.500
La: 0.250 0.250 0.250
Eu: 0.000 0.000 0.000
Pr: 0.750 0.750 0.750

---

Entry 4:
The following is a GGA-PBE calculation of a relaxed LaEuPt crystal, from Alexandria.

Results
Its energy above the most stable polymorph in this dataset is 0.01 eV per formula unit.

Unit cell a=5.070 b=5.070 c=5.070 alpha=60.00 beta=60.00 gamma=60.00
Sites, in units of the cell vectors:
La: 0.500 0.500 0.500
Pt: 0.250 0.250 0.250
Eu: 0.000 0.000 0.000

---

Number 1: E_form 0.12 eV/atom, calculated total energy -24.12 eV per cell. Number 2: E_form -0.12 eV/atom, calculated total energy -22.82 eV per cell. Number 3: E_form 0.11 eV/atom, calculated total energy -24.00 eV per cell. Number 4: E_form -0.75 eV/atom, calculated total energy -23.50 eV per cell.